Below is NaSrSmCd after structural relaxation, with properties calculated at the GGA-PBE level.

a = 5.696 Å, b = 5.696 Å, c = 5.696 Å
α = 60.00°, β = 60.00°, γ = 60.00°
Fractional coordinates of all 4 atoms:
Na: 0.750 0.750 0.750
Sr: 0.000 0.000 0.000
Cd: 0.250 0.250 0.250
Sm: 0.500 0.500 0.500

Computed properties:
Symmetry ... No. 216
Spin magnetization ... 0.0 μB per formula unit
E_form ... 0.0 eV/f.u.

=====

Below is Ac4Si5B2 after structural relaxation, with properties calculated at the GGA-PBE level.

a = 4.783 Å, b = 6.749 Å, c = 7.618 Å
α = 87.14°, β = 90.00°, γ = 90.00°
Fractional coordinates of all 11 atoms:
Si: 0.000 0.500 0.000
Si: 0.000 0.384 0.627
B: 0.000 0.070 0.596
Ac: 0.500 0.255 0.371
Si: 0.000 0.091 0.138
Si: 0.000 0.909 0.862
Ac: 0.500 0.745 0.629
B: 0.000 0.930 0.404
Ac: 0.500 0.770 0.134
Ac: 0.500 0.230 0.866
Si: 0.000 0.616 0.373

Computed properties:
Symmetry ... No. 10
Spin magnetization ... 0.0 μB per formula unit
Raw formation energy ... -33.0 kJ per mole of atoms

=====

Below is Sr3Ca2Ga2 after structural relaxation, with properties calculated at the GGA-PBE level.

a = 4.128 Å, b = 7.527 Å, c = 9.651 Å
α = 106.36°, β = 102.38°, γ = 105.91°
Fractional coordinates of all 7 atoms:
Ca: 0.336 0.506 0.166
Ga: 0.974 0.159 0.790
Sr: 0.500 0.000 0.000
Ca: 0.664 0.494 0.834
Sr: 0.817 0.194 0.439
Ga: 0.026 0.841 0.210
Sr: 0.183 0.806 0.561

Computed properties:
Symmetry ... No. 12
Spin magnetization ... 0.0 μB per formula unit
E_form ... -1.7 eV/f.u.

=====

Below is Li6MnI8 after structural relaxation, with properties calculated at the GGA-PBE level.

a = 8.506 Å, b = 8.506 Å, c = 8.506 Å
α = 60.00°, β = 60.00°, γ = 60.00°
Site moments in Bohr magnetons follow the coordinates.
Fractional coordinates of all 15 atoms:
I: 0.757 0.757 0.243  0.03
I: 0.757 0.243 0.757  0.03
I: 0.243 0.243 0.757  0.03
Li: 0.500 0.000 0.500  0.00
Li: 0.500 0.500 0.000  0.00
Li: 0.000 0.500 0.500  0.00
Li: 0.500 0.000 0.000  0.00
I: 0.243 0.757 0.243  0.03
Mn: 0.000 0.000 0.000  4.35
Li: 0.000 0.000 0.500  0.00
I: 0.243 0.757 0.757  0.03
I: 0.750 0.750 0.750  0.00
I: 0.250 0.250 0.250  0.00
Li: 0.000 0.500 0.000  0.00
I: 0.757 0.243 0.243  0.03

Computed properties:
Symmetry ... No. 225
Spin magnetization ... 5.0 μB per formula unit
Raw formation energy ... -99.4 kJ per mole of atoms

=====

Below is LiHf2ScAs4 after structural relaxation, with properties calculated at the GGA-PBE level.

a = 3.821 Å, b = 6.632 Å, c = 6.739 Å
α = 108.71°, β = 90.00°, γ = 90.00°
Fractional coordinates of all 8 atoms:
As: 0.500 0.747 0.750
As: 0.000 0.750 0.253
Hf: 0.000 0.500 0.500
As: 0.500 0.253 0.250
Hf: 0.500 0.000 0.500
Li: 0.500 0.500 0.000
As: 0.000 0.250 0.747
Sc: 0.000 0.000 0.000

Computed properties:
Symmetry ... No. 10
Spin magnetization ... 0.0 μB per formula unit
E_form ... -8.0 eV/f.u.

=====

Below is AlCoNi6 after structural relaxation, with properties calculated at the GGA-PBE level.

a = 3.543 Å, b = 3.543 Å, c = 7.092 Å
α = 90.00°, β = 90.00°, γ = 90.00°
Site moments in Bohr magnetons follow the coordinates.
Fractional coordinates of all 8 atoms:
Co: 0.000 0.000 0.500  1.83
Ni: 0.000 0.500 0.256  0.52
Ni: 0.500 0.500 0.500  0.64
Ni: 0.000 0.500 0.744  0.52
Ni: 0.500 0.500 0.000  0.33
Ni: 0.500 0.000 0.256  0.52
Al: 0.000 0.000 0.000  -0.01
Ni: 0.500 0.000 0.744  0.52

Computed properties:
Symmetry ... No. 123
Spin magnetization ... 4.6 μB per formula unit
Offset from the most stable computed form ... 0.0 meV per atom
E_form ... -1.6 eV/f.u.

=====

Below is Y3Al3Si2 after structural relaxation, with properties calculated at the GGA-PBE level.

a = 4.064 Å, b = 5.855 Å, c = 15.476 Å
α = 90.00°, β = 90.00°, γ = 110.30°
Fractional coordinates of all 16 atoms:
Al: 0.691 0.381 0.750
Al: 0.422 0.844 0.943
Y: 0.863 0.727 0.406
Al: 0.578 0.156 0.443
Y: 0.863 0.727 0.094
Y: 0.137 0.273 0.594
Al: 0.422 0.844 0.557
Al: 0.578 0.156 0.057
Al: 0.309 0.619 0.250
Y: 0.418 0.837 0.750
Si: 0.160 0.321 0.122
Si: 0.840 0.679 0.622
Si: 0.840 0.679 0.878
Si: 0.160 0.321 0.378
Y: 0.137 0.273 0.906
Y: 0.582 0.163 0.250

Computed properties:
Symmetry ... No. 63
Spin magnetization ... 0.0 μB per formula unit
Raw formation energy ... -55.9 kJ per mole of atoms

=====

Below is BePt2Rh after structural relaxation, with properties calculated at the GGA-PBE level.

a = 5.123 Å, b = 9.035 Å, c = 5.097 Å
α = 90.00°, β = 114.13°, γ = 90.00°
Fractional coordinates of all 16 atoms:
Be: 0.236 0.000 0.752
Pt: 0.500 0.202 0.000
Pt: 0.245 0.000 0.257
Pt: 0.755 0.500 0.243
Be: 0.764 0.500 0.748
Pt: 0.500 0.298 0.500
Pt: 0.755 0.000 0.743
Rh: 0.000 0.791 0.500
Pt: 0.245 0.500 0.757
Pt: 0.500 0.702 0.500
Be: 0.764 0.000 0.248
Pt: 0.500 0.798 0.000
Rh: 0.000 0.709 0.000
Be: 0.236 0.500 0.252
Rh: 0.000 0.291 0.000
Rh: 0.000 0.209 0.500

Computed properties:
Symmetry ... No. 12
Spin magnetization ... 0.0 μB per formula unit
E_form ... -1.3 eV/f.u.

=====

Below is La12Tb2Pm5 after structural relaxation, with properties calculated at the GGA-PBE level.

a = 6.352 Å, b = 10.952 Å, c = 10.952 Å
α = 66.20°, β = 79.50°, γ = 79.50°
Fractional coordinates of all 19 atoms:
La: 0.003 0.883 0.883
Pm: 0.442 0.214 0.214
Tb: 0.000 0.233 0.767
La: 0.200 0.063 0.546
La: 0.621 0.643 0.148
Pm: 0.854 0.320 0.320
Pm: 0.500 0.000 0.000
La: 0.730 0.554 0.554
La: 0.200 0.546 0.063
La: 0.997 0.117 0.117
La: 0.379 0.852 0.357
Pm: 0.558 0.786 0.786
Pm: 0.146 0.680 0.680
La: 0.270 0.446 0.446
La: 0.800 0.937 0.454
La: 0.621 0.148 0.643
Tb: 0.000 0.767 0.233
La: 0.800 0.454 0.937
La: 0.379 0.357 0.852

Computed properties:
Symmetry ... No. 12
Spin magnetization ... 0.0 μB per formula unit
Offset from the most stable computed form ... 0.0 meV per atom
E_form ... 1.6 eV/f.u.

=====

Below is Tb2TmAu3 after structural relaxation, with properties calculated at the GGA-PBE level.

a = 3.572 Å, b = 3.572 Å, c = 10.897 Å
α = 90.00°, β = 90.00°, γ = 90.00°
Fractional coordinates of all 6 atoms:
Tm: 0.500 0.500 0.500
Au: 0.000 0.000 0.660
Au: 0.000 0.000 0.000
Tb: 0.500 0.500 0.169
Tb: 0.500 0.500 0.831
Au: 0.000 0.000 0.340

Computed properties:
Symmetry ... No. 123
Spin magnetization ... 0.0 μB per formula unit
Offset from the most stable computed form ... 0.0 meV per atom
E_form ... -5.2 eV/f.u.

=====

Below is Sr3TbPd8 after structural relaxation, with properties calculated at the GGA-PBE level.

a = 5.590 Å, b = 5.590 Å, c = 9.606 Å
α = 73.15°, β = 73.15°, γ = 59.92°
Fractional coordinates of all 12 atoms:
Pd: 0.444 0.938 0.680
Pd: 0.437 0.932 0.195
Tb: 0.875 0.875 0.376
Sr: 0.001 0.001 0.997
Pd: 0.687 0.687 0.938
Sr: 0.374 0.374 0.877
Pd: 0.938 0.444 0.680
Pd: 0.938 0.938 0.680
Sr: 0.499 0.499 0.503
Pd: 0.188 0.188 0.436
Pd: 0.437 0.437 0.195
Pd: 0.932 0.437 0.195

Computed properties:
Symmetry ... No. 8
Spin magnetization ... 0.0 μB per formula unit
E_form ... -7.9 eV/f.u.

=====

Below is Ac6Hg2RuN after structural relaxation, with properties calculated at the GGA-PBE level.

a = 7.942 Å, b = 8.055 Å, c = 10.882 Å
α = 90.00°, β = 90.00°, γ = 90.00°
Fractional coordinates of all 20 atoms:
Hg: 0.500 0.775 0.763
Ac: 0.252 0.520 0.000
Hg: 0.500 0.775 0.237
Ac: 0.000 0.767 0.235
Ac: 0.740 0.990 0.500
Hg: 0.000 0.225 0.737
Ac: 0.240 0.010 0.000
Ac: 0.500 0.233 0.265
Ac: 0.000 0.767 0.765
Ac: 0.748 0.520 0.000
Ru: 0.500 0.251 0.000
Hg: 0.000 0.225 0.263
N: 0.500 0.298 0.500
Ac: 0.760 0.010 0.000
Ac: 0.260 0.990 0.500
Ru: 0.000 0.749 0.500
N: 0.000 0.702 0.000
Ac: 0.752 0.480 0.500
Ac: 0.248 0.480 0.500
Ac: 0.500 0.233 0.735

Computed properties:
Symmetry ... No. 59
Spin magnetization ... 0.0 μB per formula unit
Raw formation energy ... -29.6 kJ per mole of atoms

=====

Below is Ca3MgAs after structural relaxation, with properties calculated at the GGA-PBE level.

a = 5.653 Å, b = 5.653 Å, c = 5.653 Å
α = 90.00°, β = 90.00°, γ = 90.00°
Fractional coordinates of all 5 atoms:
Ca: 0.500 0.000 0.000
Mg: 0.500 0.500 0.500
Ca: 0.000 0.000 0.500
Ca: 0.000 0.500 0.000
As: 0.000 0.000 0.000

Computed properties:
Symmetry ... No. 221
Spin magnetization ... 0.0 μB per formula unit
Offset from the most stable computed form ... 0.0 meV per atom
E_form ... -2.3 eV/f.u.

=====

Below is ZnPt2 after structural relaxation, with properties calculated at the GGA-PBE level.

a = 2.773 Å, b = 4.272 Å, c = 7.721 Å
α = 90.00°, β = 90.00°, γ = 90.00°
Fractional coordinates of all 6 atoms:
Zn: 0.500 0.500 0.500
Pt: 0.293 0.500 0.835
Zn: 0.000 0.000 0.000
Pt: 0.707 0.500 0.165
Pt: 0.793 0.000 0.665
Pt: 0.207 0.000 0.335

Computed properties:
Symmetry ... No. 58
Spin magnetization ... 0.0 μB per formula unit
E_form ... -0.9 eV/f.u.

=====

Below is TbY2ErTh after structural relaxation, with properties calculated at the GGA-PBE level.

a = 6.348 Å, b = 8.547 Å, c = 6.280 Å
α = 84.08°, β = 90.00°, γ = 90.00°
Fractional coordinates of all 10 atoms:
Y: 0.301 0.688 0.219
Tb: 0.000 0.000 0.000
Y: 0.699 0.688 0.719
Tb: 0.000 0.000 0.500
Y: 0.301 0.312 0.281
Y: 0.699 0.312 0.781
Er: 0.819 0.500 0.250
Th: 0.447 0.000 0.750
Er: 0.181 0.500 0.750
Th: 0.553 0.000 0.250

Computed properties:
Symmetry ... No. 13
Spin magnetization ... 0.0 μB per formula unit
E_form ... 1.7 eV/f.u.

=====

Below is ScCuW2 after structural relaxation, with properties calculated at the GGA-PBE level.

a = 5.287 Å, b = 5.287 Å, c = 5.287 Å
α = 137.70°, β = 137.70°, γ = 61.36°
Fractional coordinates of all 4 atoms:
W: 0.000 0.000 0.000
Sc: 0.750 0.250 0.500
Cu: 0.250 0.750 0.500
W: 0.500 0.500 0.000

Computed properties:
Symmetry ... No. 139
Spin magnetization ... 0.0 μB per formula unit
Offset from the most stable computed form ... 151.5 meV per atom
E_form ... 1.2 eV/f.u.

=====

Below is PmPrY2Th after structural relaxation, with properties calculated at the GGA-PBE level.

a = 6.558 Å, b = 8.728 Å, c = 6.372 Å
α = 101.19°, β = 90.00°, γ = 90.00°
Fractional coordinates of all 10 atoms:
Y: 0.326 0.687 0.310
Pm: 0.166 0.500 0.750
Th: 0.451 0.000 0.750
Y: 0.674 0.313 0.690
Th: 0.549 0.000 0.250
Y: 0.326 0.313 0.190
Pr: 0.000 0.000 0.000
Pr: 0.000 0.000 0.500
Pm: 0.834 0.500 0.250
Y: 0.674 0.687 0.810

Computed properties:
Symmetry ... No. 13
Spin magnetization ... 0.0 μB per formula unit
E_form ... 1.6 eV/f.u.

=====

Below is LaEuCdHg after structural relaxation, with properties calculated at the GGA-PBE level.

a = 5.538 Å, b = 5.538 Å, c = 5.538 Å
α = 60.00°, β = 60.00°, γ = 60.00°
Site moments in Bohr magnetons follow the coordinates.
Fractional coordinates of all 4 atoms:
Hg: 0.250 0.250 0.250  -0.01
La: 0.000 0.000 0.000  -0.01
Eu: 0.500 0.500 0.500  6.84
Cd: 0.750 0.750 0.750  -0.01

Computed properties:
Symmetry ... No. 216
Spin magnetization ... 7.0 μB per formula unit
E_form ... -1.8 eV/f.u.

=====

Below is TiHgBr2 after structural relaxation, with properties calculated at the GGA-PBE level.

a = 11.738 Å, b = 11.738 Å, c = 11.738 Å
α = 17.81°, β = 17.81°, γ = 17.81°
Fractional coordinates of all 4 atoms:
Hg: 0.500 0.500 0.500
Br: 0.933 0.933 0.933
Br: 0.067 0.067 0.067
Ti: 0.000 0.000 0.000

Computed properties:
Symmetry ... No. 166
Spin magnetization ... 0.0 μB per formula unit
Raw formation energy ... -26.4 kJ per mole of atoms
Offset from the most stable computed form ... 486.9 meV per atom

=====

Below is Li2PmP after structural relaxation, with properties calculated at the GGA-PBE level.

a = 4.507 Å, b = 4.507 Å, c = 4.507 Å
α = 60.00°, β = 60.00°, γ = 60.00°
Fractional coordinates of all 4 atoms:
Pm: 0.000 0.000 0.000
Li: 0.250 0.250 0.250
P: 0.500 0.500 0.500
Li: 0.750 0.750 0.750

Computed properties:
Symmetry ... No. 225
Spin magnetization ... 0.0 μB per formula unit
Offset from the most stable computed form ... 248.1 meV per atom
E_form ... -1.3 eV/f.u.

=====

Volume
In order: 130.7; 245.6; 262.6; 435.1; 161.8; 89.0; 345.4; 215.3; 680.4; 139.1; 244.8; 696.2; 180.6; 91.5; 339.0; 66.2; 357.7; 120.1; 132.1; 64.7
Unit: Å³/cell